# 1
Here is a relaxed structure of CeDy2I from the Alexandria database. Energies are from PBE-GGA.

As for the space-group type: R-3m, No. 166. Its energy relative to the elements, uncorrected is -7.23 kcal/mol of atoms. The crystal system is trigonal. The value obtained for the total energy is -4.485 eV per atom. The total magnetic moment comes out at 0.2312 μB/atom.

Unit cell a=10.675 b=10.675 c=10.675 alpha=20.02 beta=20.02 gamma=20.02
Sites, in units of the cell vectors:
1 Ce 0.000 0.000 0.000
2 Dy 0.246 0.246 0.246
3 Dy 0.754 0.754 0.754
4 I 0.500 0.500 0.500



# 2
Here is a relaxed structure of CeDyIrI from the Alexandria database. Energies are from PBE-GGA.

As for the space-group type: R3m, No. 160. Its energy relative to the elements, uncorrected is -21.58 kcal/mol of atoms. The crystal system is trigonal. The value obtained for the total energy is -6.173 eV per atom. The total magnetic moment comes out at 0.2001 μB/atom.

Unit cell a=8.376 b=8.376 c=8.376 alpha=28.53 beta=28.53 gamma=28.53
Sites, in units of the cell vectors:
1 Ce 0.000 0.000 0.000
2 Dy 0.787 0.787 0.787
3 Ir 0.393 0.393 0.393
4 I 0.561 0.561 0.561



# 3
Here is a relaxed structure of CeDyIN2 from the Alexandria database. Energies are from PBE-GGA.

As for the space-group type: P2_1/m, No. 11. Its energy relative to the elements, uncorrected is -35.71 kcal/mol of atoms. The crystal system is monoclinic. The value obtained for the total energy is -7.296 eV per atom. The total magnetic moment comes out at 0.0000 μB/atom.

Unit cell a=7.335 b=4.188 c=8.037 alpha=90.00 beta=107.43 gamma=90.00
Sites, in units of the cell vectors:
1 Ce 0.142 0.250 0.410
2 Ce 0.858 0.750 0.590
3 Dy 0.136 0.250 0.914
4 Dy 0.864 0.750 0.086
5 I 0.467 0.750 0.754
6 I 0.533 0.250 0.246
7 N 0.001 0.750 0.869
8 N 0.017 0.750 0.386
9 N 0.983 0.250 0.614
10 N 0.999 0.250 0.131



# 4
Here is a relaxed structure of CeDyOsI from the Alexandria database. Energies are from PBE-GGA.

As for the space-group type: R3m, No. 160. Its energy relative to the elements, uncorrected is -13.57 kcal/mol of atoms. The crystal system is trigonal. The value obtained for the total energy is -6.418 eV per atom. The total magnetic moment comes out at 0.0533 μB/atom.

Unit cell a=8.311 b=8.311 c=8.311 alpha=28.51 beta=28.51 gamma=28.51
Sites, in units of the cell vectors:
1 Ce 0.000 0.000 0.000
2 Dy 0.788 0.788 0.788
3 Os 0.389 0.389 0.389
4 I 0.559 0.559 0.559



# 5
Here is a relaxed structure of CeDy2In from the Alexandria database. Energies are from PBE-GGA.

As for the space-group type: P4/mmm, No. 123. Its formation energy is -0.80 eV/f.u. The crystal system is tetragonal. The value obtained for the total energy is -4.669 eV per atom. The total magnetic moment comes out at 0.1040 μB/atom. As for the excess energy over the best structure of this formula in the dataset: 0.0176 eV per atom.

Unit cell a=3.542 b=3.542 c=9.068 alpha=90.00 beta=90.00 gamma=90.00
Sites, in units of the cell vectors:
1 Ce 0.000 0.000 0.000
2 Dy 0.500 0.500 0.267
3 Dy 0.500 0.500 0.733
4 In 0.000 0.000 0.500



# 6
Here is a relaxed structure of CeDy2In4 from the Alexandria database. Energies are from PBE-GGA.

As for the space-group type: R-3m, No. 166. Its formation energy is -1.64 eV/f.u. The crystal system is trigonal. The value obtained for the total energy is -3.962 eV per atom. The total magnetic moment comes out at 0.1222 μB/atom. As for the excess energy over the best structure of this formula in the dataset: 0.0253 eV per atom.

Unit cell a=10.115 b=10.115 c=10.115 alpha=27.94 beta=27.94 gamma=27.94
Sites, in units of the cell vectors:
1 Ce 0.000 0.000 0.000
2 Dy 0.130 0.130 0.130
3 Dy 0.870 0.870 0.870
4 In 0.249 0.249 0.249
5 In 0.389 0.389 0.389
6 In 0.611 0.611 0.611
7 In 0.751 0.751 0.751



# 7
Here is a relaxed structure of CeDy3In4 from the Alexandria database. Energies are from PBE-GGA.

As for the space-group type: Pmma, No. 51. Its formation energy is -3.42 eV/f.u. The crystal system is orthorhombic. The value obtained for the total energy is -4.264 eV per atom. The total magnetic moment comes out at 0.1259 μB/atom.

Unit cell a=10.817 b=7.287 c=5.505 alpha=90.00 beta=90.00 gamma=90.00
Sites, in units of the cell vectors:
1 Ce 0.000 0.000 0.000
2 Ce 0.500 0.000 0.000
3 Dy 0.000 0.500 0.000
4 Dy 0.250 0.000 0.433
5 Dy 0.250 0.500 0.428
6 Dy 0.500 0.500 0.000
7 Dy 0.750 0.000 0.567
8 Dy 0.750 0.500 0.572
9 In 0.000 0.258 0.500
10 In 0.000 0.742 0.500
11 In 0.250 0.258 0.923
12 In 0.250 0.742 0.923
13 In 0.500 0.258 0.500
14 In 0.500 0.742 0.500
15 In 0.750 0.258 0.077
16 In 0.750 0.742 0.077



# 8
Here is a relaxed structure of CeDy2In from the Alexandria database. Energies are from PBE-GGA.

As for the space-group type: P4/mmm, No. 123. Its formation energy is -0.87 eV/f.u. The crystal system is tetragonal. The value obtained for the total energy is -4.686 eV per atom. The total magnetic moment comes out at 0.1819 μB/atom. As for the excess energy over the best structure of this formula in the dataset: 0.0000 eV per atom.

Unit cell a=4.902 b=4.902 c=4.688 alpha=90.00 beta=90.00 gamma=90.00
Sites, in units of the cell vectors:
1 Ce 0.000 0.000 0.000
2 Dy 0.000 0.500 0.500
3 Dy 0.500 0.000 0.500
4 In 0.500 0.500 0.000



# 9
Here is a relaxed structure of CeDy2In from the Alexandria database. Energies are from PBE-GGA.

As for the space-group type: P2_1/m, No. 11. Its formation energy is -0.36 eV/f.u. The crystal system is monoclinic. The value obtained for the total energy is -4.560 eV per atom. The total magnetic moment comes out at 0.2744 μB/atom. As for the excess energy over the best structure of this formula in the dataset: 0.1263 eV per atom.

Unit cell a=4.730 b=4.830 c=11.236 alpha=90.00 beta=101.99 gamma=90.00
Sites, in units of the cell vectors:
1 Ce 0.191 0.250 0.386
2 Ce 0.809 0.750 0.614
3 Dy 0.057 0.750 0.115
4 Dy 0.437 0.750 0.873
5 Dy 0.563 0.250 0.127
6 Dy 0.943 0.250 0.885
7 In 0.341 0.250 0.678
8 In 0.659 0.750 0.322



# 10
Here is a relaxed structure of CeDy3In3 from the Alexandria database. Energies are from PBE-GGA.

As for the space-group type: P6_3/m, No. 176. Its formation energy is -2.09 eV/f.u. The crystal system is hexagonal. The value obtained for the total energy is -4.292 eV per atom. The total magnetic moment comes out at 0.1613 μB/atom.

Unit cell a=9.390 b=9.390 c=5.227 alpha=90.00 beta=90.00 gamma=120.00
Sites, in units of the cell vectors:
1 Ce 0.333 0.667 0.250
2 Ce 0.667 0.333 0.750
3 Dy 0.003 0.769 0.250
4 Dy 0.231 0.234 0.250
5 Dy 0.234 0.003 0.750
6 Dy 0.766 0.997 0.250
7 Dy 0.769 0.766 0.750
8 Dy 0.997 0.231 0.750
9 In 0.073 0.619 0.750
10 In 0.381 0.454 0.750
11 In 0.454 0.073 0.250
12 In 0.546 0.927 0.750
13 In 0.619 0.546 0.250
14 In 0.927 0.381 0.250



# 11
Here is a relaxed structure of CeDy6In from the Alexandria database. Energies are from PBE-GGA.

As for the space-group type: P4/mmm, No. 123. Its formation energy is -0.65 eV/f.u. The crystal system is tetragonal. The value obtained for the total energy is -4.617 eV per atom. The total magnetic moment comes out at 0.2008 μB/atom.

Unit cell a=4.882 b=4.882 c=10.012 alpha=90.00 beta=90.00 gamma=90.00
Sites, in units of the cell vectors:
1 Ce 0.000 0.000 0.000
2 Dy 0.000 0.500 0.255
3 Dy 0.000 0.500 0.745
4 Dy 0.500 0.000 0.255
5 Dy 0.500 0.000 0.745
6 Dy 0.500 0.500 0.000
7 Dy 0.500 0.500 0.500
8 In 0.000 0.000 0.500



# 12
Here is a relaxed structure of CeDy5In6 from the Alexandria database. Energies are from PBE-GGA.

As for the space-group type: Immm, No. 71. Its formation energy is -5.30 eV/f.u. The crystal system is orthorhombic. The value obtained for the total energy is -4.223 eV per atom. The total magnetic moment comes out at 0.0867 μB/atom.

Unit cell a=9.272 b=9.272 c=9.272 alpha=146.49 beta=132.09 gamma=59.73
Sites, in units of the cell vectors:
1 Ce 0.000 0.000 0.000
2 Dy 0.163 0.663 0.500
3 Dy 0.332 0.332 0.000
4 Dy 0.500 0.000 0.500
5 Dy 0.668 0.668 0.000
6 Dy 0.837 0.337 0.500
7 In 0.086 0.830 0.256
8 In 0.261 0.500 0.761
9 In 0.425 0.170 0.256
10 In 0.575 0.830 0.744
11 In 0.739 0.500 0.239
12 In 0.914 0.170 0.744